A plane-wave DFT calculation with GGA-PBE was carried out for AgSn2S after structural relaxation.

Output
- Total moment: 0.0 μB per formula unit
- Crystal system: tetragonal
- Formation energy without anion corrections: 0.053 eV per atom

a b c (Å): 6.442 6.442 11.824
angles (deg): 90.00 90.00 90.00
Fractional coordinates of all 16 atoms:
Ag 0.000 0.000 0.000
Ag 0.000 0.500 0.250
Ag 0.500 0.000 0.750
Ag 0.500 0.500 0.500
Sn 0.246 0.250 0.625
Sn 0.250 0.746 0.875
Sn 0.250 0.754 0.375
Sn 0.254 0.250 0.125
Sn 0.746 0.750 0.125
Sn 0.750 0.246 0.375
Sn 0.750 0.254 0.875
Sn 0.754 0.750 0.625
S 0.000 0.000 0.500
S 0.000 0.500 0.750
S 0.500 0.000 0.250
S 0.500 0.500 0.000